Model P:
{
  "formula": "CuAg3Br",
  "functional": "PBE-GGA",
  "state": "relaxed",
  "cell": [[4.913, 0.000, 0.000], [0.000, 4.913, 0.000], [0.000, 0.000, 4.913]],
  "species": ["Ag", "Ag", "Cu", "Ag", "Br"],
  "fractional_positions": [[0.500, 0.000, 0.000], [0.000, 0.500, 0.000], [0.000, 0.000, 0.000], [0.000, 0.000, 0.500], [0.500, 0.500, 0.500]],
  "spacegroup": "Pm-3m"
}


Model Q:
{
  "formula": "CuAg3Br",
  "functional": "PBE-GGA",
  "state": "relaxed",
  "cell": [[-5.173, -0.154, -0.759], [0.761, -1.948, -4.794], [-0.141, -4.852, 1.949]],
  "species": ["Br", "Ag", "Ag", "Cu", "Ag"],
  "fractional_positions": [[0.000, 0.000, 0.000], [0.000, 0.500, 0.000], [0.000, 0.000, 0.500], [0.500, 0.500, 0.500], [0.500, 0.000, 0.000]],
  "spacegroup": "Pm-3m"
}


Which structure is the most stable? The one labeled model P.